Density functional theory data (PBE-GGA) for an optimized crystal structure of LaMg2Ag.

Cell: 7.3403 7.3403 7.3403 Å, 90.00 90.00 90.00°
Last column: nearest neighbours and their distance in Å.
Space group F-43m (No. 216)
Symmetry-distinct sites (fractional):
La 0.0000 0.0000 0.0000 x4  4 Mg 3.18, 4 Ag 3.18
Mg 0.0000 0.0000 0.5000 x4  4 Mg 3.18, 4 Ag 3.18
Mg 0.2500 0.2500 0.2500 x4  4 La 3.18, 4 Mg 3.18
Ag 0.2500 0.2500 0.7500 x4  4 La 3.18, 4 Mg 3.18

Its formation energy is -0.203 eV per atom.